# 1
Material: LiNdCd2Pd2
Method: DFT, PBE
State: optimized geometry

Cell: 5.369 5.369 6.338 Å, 115.06 115.06 90.00°
Sites, in units of the cell vectors:
Li: 0.000 0.000 0.000
Nd: 0.500 0.500 0.000
Cd: 0.250 0.750 0.500
Cd: 0.750 0.250 0.500
Pd: 0.769 0.769 0.537
Pd: 0.231 0.231 0.463

Calculated values
The calculated total energy comes out at -0.1231 hartree per atom.

# 2
Material: La2YScNi
Method: DFT, PBE
State: optimized geometry

Cell: 5.382 5.500 5.382 Å, 90.00 90.00 90.00°
Each line ends with the local moment (μB).
Sites, in units of the cell vectors:
Y: 0.000 0.500 0.000  0.13
Ni: 0.000 0.000 0.000  0.09
Sc: 0.500 0.500 0.500  0.45
La: 0.000 0.000 0.500  0.08
La: 0.500 0.000 0.000  0.13

Calculated values
The calculated total energy comes out at -0.2066 hartree per atom.

# 3
Material: ScGa2Ag
Method: DFT, PBE
State: optimized geometry

Cell: 7.394 7.394 5.983 Å, 51.84 51.84 90.00°
Sites, in units of the cell vectors:
Sc: 0.500 0.500 0.000
Sc: 0.250 0.750 0.500
Ga: 0.648 0.125 0.250
Ga: 0.102 0.625 0.250
Ga: 0.375 0.352 0.750
Ga: 0.875 0.898 0.750
Ag: 0.000 0.000 0.000
Ag: 0.750 0.250 0.500

Calculated values
The calculation puts the energy above the most stable polymorph in this dataset at 0.973 eV/f.u.